{
  "formula": "U2Si4GePt3",
  "functional": "PBE",
  "state": "optimized geometry",
  "dos_at_fermi_per_ev_cell": 15.04,
  "formation_energy_uncorrected_mev_per_atom": -601,
  "dft_energy_ha_per_atom": -0.2683,
  "space_group": "P-4m2 (115)",
  "density_g_cm3": 11.716,
  "lattice": [[4.266, 0.000, 0.000], [0.000, 4.266, 0.000], [0.000, 0.000, 9.708]],
  "species": ["Si", "Si", "Si", "Si", "Pt", "Pt", "Pt", "U", "U", "Ge"],
  "frac_coords": [[0.500, 0.000, 0.637], [0.000, 0.500, 0.363], [0.000, 0.000, 0.000], [0.500, 0.500, 0.000], [0.000, 0.500, 0.120], [0.000, 0.000, 0.500], [0.500, 0.000, 0.880], [0.500, 0.000, 0.249], [0.000, 0.500, 0.751], [0.500, 0.500, 0.500]]
}